A plane-wave DFT calculation with GGA+U was carried out for crystalline ZrNi2AuO at its relaxed geometry.

Values from the calculation:
As for the density of states at the Fermi level: 0.77 states/eV per atom. The value obtained for the total DFT energy (no corrections) is -16.11 eV/cell. Its space group is P4/mmm, No. 123. As for the total moment: 0.00 μB per cell.

Unit cell a=4.653 b=4.653 c=3.940 alpha=90.00 beta=90.00 gamma=90.00
Fractional positions:
Zr 0.000 0.000 0.000
Ni 0.000 0.500 0.500
Ni 0.500 0.000 0.500
Au 0.500 0.500 0.500
O 0.500 0.500 0.000